Entry 1:
A plane-wave DFT calculation with PBE was carried out for KAg2Se after structural relaxation. Values from VASP.

Geometry as Quantum ESPRESSO input:
```
&SYSTEM
  ibrav = 0, nat = 4, ntyp = 3
/
ATOMIC_SPECIES
K 39.10 K.upf
Ag 107.87 Ag.upf
Se 78.96 Se.upf
CELL_PARAMETERS angstrom
2.995 -5.574 0.000
2.995 5.574 0.000
0.000 0.000 2.902
ATOMIC_POSITIONS angstrom
K 0.000 0.000 0.000
Ag 1.498 2.787 1.451
Ag 1.498 -2.787 1.451
Se 2.995 0.000 0.000
```

Entry 2:
A plane-wave DFT calculation with PBE was carried out for AlSiMo after structural relaxation. Values from VASP.

Geometry as Quantum ESPRESSO input:
```
&SYSTEM
  ibrav = 0, nat = 12, ntyp = 3
/
ATOMIC_SPECIES
Al 26.98 Al.upf
Si 28.09 Si.upf
Mo 95.94 Mo.upf
CELL_PARAMETERS angstrom
0.000 4.874 5.147
4.335 0.000 5.147
4.335 4.874 0.000
ATOMIC_POSITIONS angstrom
Al 0.000 0.000 0.000
Al 2.168 2.437 0.000
Al 2.168 0.000 2.574
Al 0.000 2.437 2.574
Si 3.251 3.656 1.988
Si 5.419 6.093 4.561
Si 3.251 3.656 5.733
Si 5.419 6.093 8.307
Mo 3.251 2.089 3.861
Mo 5.419 4.526 6.434
Mo 3.251 5.223 3.861
Mo 5.419 7.660 6.434
```

Entry 3:
A plane-wave DFT calculation with PBE was carried out for CaHg2Sb after structural relaxation. Values from VASP.

Geometry as Quantum ESPRESSO input:
```
&SYSTEM
  ibrav = 0, nat = 4, ntyp = 3
/
ATOMIC_SPECIES
Ca 40.08 Ca.upf
Hg 200.59 Hg.upf
Sb 121.76 Sb.upf
CELL_PARAMETERS angstrom
2.473 1.428 5.173
-2.473 1.428 5.173
0.000 -2.856 5.173
ATOMIC_POSITIONS angstrom
Ca 0.000 0.000 0.000
Hg 0.000 0.000 3.833
Hg 0.000 0.000 11.686
Sb 0.000 0.000 7.760
```

Here are the calculated energy relative to the elements, uncorrected numbers, same order: 0.13; 0.21; -0.36 (eV/atom).
Here are the calculated size of the total moment numbers, same order: 0.00; 0.00; 0.00 (μB per cell).